# 1
A relaxed RbY2Au2O6 crystal, computed with PBE.

Geometry as POSCAR:
```
RbY2Au2O6
1.0
5.762 0.000 0.000
-2.878 6.854 0.000
-0.090 -3.625 6.617
Rb Y Au O
1 2 2 6
direct
0.000 0.000 0.000
0.174 0.349 0.594
0.826 0.651 0.406
0.262 0.524 0.036
0.738 0.476 0.964
0.036 0.977 0.398
0.086 0.614 0.590
0.428 0.430 0.389
0.572 0.570 0.611
0.914 0.386 0.410
0.964 0.023 0.602
```

Results
- Total magnetization: 0.00 μB per formula unit
- Uncorrected formation energy: -1.306 eV per atom
- Space-group type: P-1, No. 2
- DFT total energy: -0.216 Ha/atom
- Crystal system: triclinic

# 2
A relaxed Tb6Sm12Er crystal, computed with PBE.

Geometry as POSCAR:
```
Tb6Sm12Er
1.0
7.385 4.264 3.470
-7.385 4.264 3.470
0.000 -8.528 3.470
Tb Sm Er
6 12 1
direct
0.049 0.309 0.420
0.309 0.420 0.049
0.420 0.049 0.309
0.580 0.951 0.691
0.691 0.580 0.951
0.951 0.691 0.580
0.015 0.918 0.309
0.082 0.691 0.985
0.221 0.675 0.368
0.309 0.015 0.918
0.325 0.632 0.779
0.368 0.221 0.675
0.632 0.779 0.325
0.675 0.368 0.221
0.691 0.985 0.082
0.779 0.325 0.632
0.918 0.309 0.015
0.985 0.082 0.691
0.500 0.500 0.500
```

Results
- Total magnetization: 0.00 μB per formula unit
- Formation enthalpy at 0 K: 238.8 meV per atom
- Excess energy over the best structure of this formula in the dataset: 97.6 meV per atom
- Space-group type: R-3, No. 148
- DFT total energy: -0.163 Ha/atom
- Crystal system: trigonal

# 3
A relaxed BaP2HCl crystal, computed with PBE.

Geometry as POSCAR:
```
BaP2HCl
1.0
4.626 0.000 0.000
0.000 4.626 0.000
0.000 0.000 5.487
Ba P H Cl
1 2 1 1
direct
0.000 0.000 0.000
0.000 0.500 0.500
0.500 0.000 0.500
0.500 0.500 0.000
0.500 0.500 0.500
```

Results
- Total magnetization: 0.00 μB per formula unit
- Excess energy over the best structure of this formula in the dataset: 691.5 meV per atom
- Space-group type: P4/mmm, No. 123
- DFT total energy: -0.117 Ha/atom
- Crystal system: tetragonal

# 4
A relaxed In4AgPt crystal, computed with PBE.

Geometry as POSCAR:
```
In4AgPt
1.0
0.000 4.147 4.147
4.147 0.000 4.147
4.147 4.147 0.000
In Ag Pt
4 1 1
direct
0.125 0.125 0.125
0.125 0.125 0.624
0.125 0.624 0.125
0.624 0.125 0.125
0.750 0.750 0.750
0.500 0.500 0.500
```

Results
- Total magnetization: 0.00 μB per formula unit
- Formation enthalpy at 0 K: 408.6 meV per atom
- Excess energy over the best structure of this formula in the dataset: 649.5 meV per atom
- Space-group type: F-43m, No. 216
- DFT total energy: -0.107 Ha/atom
- Crystal system: cubic